Entry 1:
Crystalline AlCu3 at its relaxed geometry. Source: the Alexandria database, functional GGA-PBEsol.

Cell: 4.0718 4.0718 4.0718 Å, 60.00 60.00 60.00°
Closest atoms and distances in Å follow each position.
Atoms (fractional coordinates):
Al1 0.0000 0.0000 0.0000  8 Cu 2.49
Cu1 0.2500 0.2500 0.2500  4 Cu 2.49, 4 Al 2.49
Cu2 0.5000 0.5000 0.5000  8 Cu 2.49
Cu3 0.7500 0.7500 0.7500  4 Cu 2.49, 4 Al 2.49

Crystal system = cubic
Calculated formation energy = -176 meV/atom
DOS(E_F) = 1.3 states/eV/cell



Entry 2:
Crystalline Sc2MoBr at its relaxed geometry. Source: the Alexandria database, functional GGA-PBEsol.

Cell: 9.6870 9.6870 9.6870 Å, 18.41 18.41 18.41°
Closest atoms and distances in Å follow each position.
Atoms (fractional coordinates):
Sc1 0.0902 0.0902 0.0902  1 Mo 2.58, 3 Br 2.82
Sc2 0.9098 0.9098 0.9098  1 Mo 2.58, 3 Br 2.82
Mo1 0.0000 0.0000 0.0000  2 Sc 2.58
Br1 0.5000 0.5000 0.5000  6 Sc 2.82, 6 Br 3.10

Crystal system = trigonal
Raw formation energy = 198 meV/atom
DOS(E_F) = 4.0 states/eV/cell
Distance to the lowest polymorph of the same formula = 0.556 eV per atom



Entry 3:
Crystalline MgPtBr2 at its relaxed geometry. Source: the Alexandria database, functional GGA-PBEsol.

Cell: 4.8053 4.8053 4.8053 Å, 60.00 60.00 60.00°
Closest atoms and distances in Å follow each position.
Atoms (fractional coordinates):
Mg1 0.0000 0.0000 0.0000  8 Br 2.94
Pt1 0.5000 0.5000 0.5000  8 Br 2.94
Br1 0.2500 0.2500 0.2500  4 Mg 2.94, 4 Pt 2.94
Br2 0.7500 0.7500 0.7500  4 Mg 2.94, 4 Pt 2.94

Crystal system = cubic
Raw formation energy = -43 meV/atom
DOS(E_F) = 3.6 states/eV/cell



Entry 4:
Crystalline Pr2Ga5Cu3 at its relaxed geometry. Source: the Alexandria database, functional GGA-PBEsol.

Cell: 4.1929 4.1929 10.0931 Å, 90.00 90.00 90.00°
Closest atoms and distances in Å follow each position.
Atoms (fractional coordinates):
Pr1 0.0000 0.5000 0.2436  10 Ga 3.20-3.33, 6 Cu 3.23-3.33
Pr2 0.5000 0.0000 0.7564  10 Ga 3.20-3.33, 6 Cu 3.23-3.33
Ga1 0.0000 0.0000 0.5000  4 Ga 2.51
Ga2 0.0000 0.5000 0.6362  3 Ga 2.48-2.51, 2 Cu 2.51
Ga3 0.0000 0.5000 0.8818  4 Cu 2.41, 1 Ga 2.48
Ga4 0.5000 0.0000 0.1182  4 Cu 2.41, 1 Ga 2.48
Ga5 0.5000 0.0000 0.3638  3 Ga 2.48-2.51, 2 Cu 2.51
Cu1 0.0000 0.0000 0.0000  4 Ga 2.41
Cu2 0.5000 0.5000 0.0000  4 Ga 2.41
Cu3 0.5000 0.5000 0.5000  4 Ga 2.51

Crystal system = tetragonal
Calculated formation energy = -505 meV/atom
DOS(E_F) = 3.8 states/eV/cell



Entry 5:
Crystalline Li17Si12 at its relaxed geometry. Source: the Alexandria database, functional GGA-PBEsol.

Cell: 8.2076 8.2076 8.2076 Å, 109.47 109.47 109.47°
Closest atoms and distances in Å follow each position.
Atoms (fractional coordinates):
Li1 0.0000 0.0000 0.0000  4 Li 2.79, 12 Si 2.88
Li2 0.0000 0.0000 0.3395  6 Si 2.76, 4 Li 2.78-2.79
Li3 0.0000 0.3148 0.6069  5 Si 2.60-2.88, 7 Li 2.78-2.87
Li4 0.0000 0.3395 0.0000  6 Si 2.76, 4 Li 2.78-2.79
Li5 0.0000 0.6069 0.3148  5 Si 2.60-2.88, 7 Li 2.78-2.87
Li6 0.2921 0.6852 0.6852  5 Si 2.60-2.88, 7 Li 2.78-2.87
Li7 0.3148 0.0000 0.6069  5 Si 2.60-2.88, 7 Li 2.78-2.87
Li8 0.3148 0.6069 0.0000  5 Si 2.60-2.88, 7 Li 2.78-2.87
Li9 0.3395 0.0000 0.0000  6 Si 2.76, 4 Li 2.78-2.79
Li10 0.3931 0.3931 0.7079  5 Si 2.60-2.88, 7 Li 2.78-2.87
Li11 0.3931 0.7079 0.3931  5 Si 2.60-2.88, 7 Li 2.78-2.87
Li12 0.6069 0.0000 0.3148  5 Si 2.60-2.88, 7 Li 2.78-2.87
Li13 0.6069 0.3148 0.0000  5 Si 2.60-2.88, 7 Li 2.78-2.87
Li14 0.6605 0.6605 0.6605  6 Si 2.76, 4 Li 2.78-2.79
Li15 0.6852 0.2921 0.6852  5 Si 2.60-2.88, 7 Li 2.78-2.87
Li16 0.6852 0.6852 0.2921  5 Si 2.60-2.88, 7 Li 2.78-2.87
Li17 0.7079 0.3931 0.3931  5 Si 2.60-2.88, 7 Li 2.78-2.87
Si1 0.0000 0.6341 0.8128  3 Si 2.40-2.51, 3 Li 2.60-2.66
Si2 0.0000 0.8128 0.6341  3 Si 2.40-2.51, 3 Li 2.60-2.66
Si3 0.1787 0.3659 0.3659  3 Si 2.40-2.51, 3 Li 2.60-2.66
Si4 0.1872 0.1872 0.8213  3 Si 2.40-2.51, 3 Li 2.60-2.66
Si5 0.1872 0.8213 0.1872  3 Si 2.40-2.51, 3 Li 2.60-2.66
Si6 0.3659 0.1787 0.3659  3 Si 2.40-2.51, 3 Li 2.60-2.66
Si7 0.3659 0.3659 0.1787  3 Si 2.40-2.51, 3 Li 2.60-2.66
Si8 0.6341 0.0000 0.8128  3 Si 2.40-2.51, 3 Li 2.60-2.66
Si9 0.6341 0.8128 0.0000  3 Si 2.40-2.51, 3 Li 2.60-2.66
Si10 0.8128 0.0000 0.6341  3 Si 2.40-2.51, 3 Li 2.60-2.66
Si11 0.8128 0.6341 0.0000  3 Si 2.40-2.51, 3 Li 2.60-2.66
Si12 0.8213 0.1872 0.1872  3 Si 2.40-2.51, 3 Li 2.60-2.66

Crystal system = cubic
Raw formation energy = -256 meV/atom
DOS(E_F) = 4.5 states/eV/cell



Entry 6:
Crystalline KOsPdCl2 at its relaxed geometry. Source: the Alexandria database, functional GGA-PBEsol.

Cell: 4.9555 4.9555 5.0049 Å, 90.00 90.00 90.00°
Closest atoms and distances in Å follow each position.
Atoms (fractional coordinates):
K1 0.0000 0.0000 0.0000  4 Os 3.50, 8 Cl 3.52
Os1 0.5000 0.5000 0.0000  2 Pd 2.50
Pd1 0.5000 0.5000 0.5000  4 Cl 2.48, 2 Os 2.50
Cl1 0.0000 0.5000 0.5000  2 Pd 2.48
Cl2 0.5000 0.0000 0.5000  2 Pd 2.48

Crystal system = tetragonal
Raw formation energy = 557 meV/atom
DOS(E_F) = 6.2 states/eV/cell



Question: Number 6 is which compound?
Answer: KOsPdCl2



Question: Which formula does entry 3 have?
Answer: MgPtBr2



Question: Look up the DOS(E_F) of the third one.
Answer: 3.6 states/eV/cell



Question: Among the records above, which one has the lowest DOS(E_F)?
Answer: AlCu3